(1)
# TiAsPdSe2

An optimized crystal structure of TiAsPdSe2 (PBE, the Alexandria database).

Cell and atoms, written as CIF:
```
data_TiAsPdSe2
_cell_length_a 4.9281
_cell_length_b 4.9281
_cell_length_c 4.7451
_cell_angle_alpha 90.00
_cell_angle_beta 90.00
_cell_angle_gamma 90.00
_symmetry_space_group_name_H-M 'P 4/m m m'
_symmetry_Int_Tables_number 123
_symmetry_space_group_name_Hall '-P 4 2'
loop_
_atom_site_label
_atom_site_fract_x
_atom_site_fract_y
_atom_site_fract_z
Ti1 0.0000 0.0000 0.0000
As1 0.5000 0.5000 0.0000
Pd1 0.5000 0.5000 0.5000
Se1 0.0000 0.5000 0.5000
```

(2)
# TlAsPdSe2

An optimized crystal structure of TlAsPdSe2 (PBE, the Alexandria database).

Cell and atoms, written as CIF:
```
data_TlAsPdSe2
_cell_length_a 5.3464
_cell_length_b 5.3464
_cell_length_c 5.3203
_cell_angle_alpha 90.00
_cell_angle_beta 90.00
_cell_angle_gamma 90.00
_symmetry_space_group_name_H-M 'P 4/m m m'
_symmetry_Int_Tables_number 123
_symmetry_space_group_name_Hall '-P 4 2'
loop_
_atom_site_label
_atom_site_fract_x
_atom_site_fract_y
_atom_site_fract_z
Tl1 0.0000 0.0000 0.0000
As1 0.0000 0.0000 0.5000
Pd1 0.5000 0.5000 0.5000
Se1 0.0000 0.5000 0.0000
```

(3)
# Tl2AsPdSe4

An optimized crystal structure of Tl2AsPdSe4 (PBE, the Alexandria database).

Cell and atoms, written as CIF:
```
data_Tl2AsPdSe4
_cell_length_a 7.0025
_cell_length_b 12.5363
_cell_length_c 21.4583
_cell_angle_alpha 90.00
_cell_angle_beta 90.00
_cell_angle_gamma 90.00
_symmetry_space_group_name_H-M 'F d d d'
_symmetry_Int_Tables_number 70
loop_
_symmetry_equiv_pos_as_xyz
'x,y,z'
'-x,-y,-z'
'-x+1/4,-y+1/4,z'
'x+1/4,y+1/4,-z'
'x,-y+1/4,-z+1/4'
'-x,y+1/4,z+1/4'
'-x+1/4,y,-z+1/4'
'x+1/4,-y,z+1/4'
'x,y+1/2,z+1/2'
'-x,-y+1/2,-z+1/2'
'-x+1/4,-y+3/4,z+1/2'
'x+1/4,y+3/4,-z+1/2'
'x,-y+3/4,-z+3/4'
'-x,y+3/4,z+3/4'
'-x+1/4,y+1/2,-z+3/4'
'x+1/4,-y+1/2,z+3/4'
'x+1/2,y,z+1/2'
'-x+1/2,-y,-z+1/2'
'-x+3/4,-y+1/4,z+1/2'
'x+3/4,y+1/4,-z+1/2'
'x+1/2,-y+1/4,-z+3/4'
'-x+1/2,y+1/4,z+3/4'
'-x+3/4,y,-z+3/4'
'x+3/4,-y,z+3/4'
'x+1/2,y+1/2,z'
'-x+1/2,-y+1/2,-z'
'-x+3/4,-y+3/4,z'
'x+3/4,y+3/4,-z'
'x+1/2,-y+3/4,-z+1/4'
'-x+1/2,y+3/4,z+1/4'
'-x+3/4,y+1/2,-z+1/4'
'x+3/4,-y+1/2,z+1/4'
loop_
_atom_site_label
_atom_site_fract_x
_atom_site_fract_y
_atom_site_fract_z
Tl1 0.1250 0.1250 0.2866
As1 0.1250 0.1250 0.6250
Pd1 0.1250 0.1250 0.1250
Se1 0.1115 0.2516 0.8339
```

(4)
# TlAs2PdSe

An optimized crystal structure of TlAs2PdSe (PBE, the Alexandria database).

Cell and atoms, written as CIF:
```
data_TlAs2PdSe
_cell_length_a 4.8753
_cell_length_b 4.8753
_cell_length_c 5.4138
_cell_angle_alpha 90.00
_cell_angle_beta 90.00
_cell_angle_gamma 90.00
_symmetry_space_group_name_H-M 'P 4/m m m'
_symmetry_Int_Tables_number 123
_symmetry_space_group_name_Hall '-P 4 2'
loop_
_atom_site_label
_atom_site_fract_x
_atom_site_fract_y
_atom_site_fract_z
Tl1 0.0000 0.0000 0.0000
As1 0.0000 0.5000 0.5000
Pd1 0.5000 0.5000 0.5000
Se1 0.5000 0.5000 0.0000
```

(5)
# TlAsPdSe2

An optimized crystal structure of TlAsPdSe2 (PBE, the Alexandria database).

Cell and atoms, written as CIF:
```
data_TlAsPdSe2
_cell_length_a 5.2972
_cell_length_b 5.2972
_cell_length_c 4.6771
_cell_angle_alpha 90.00
_cell_angle_beta 90.00
_cell_angle_gamma 90.00
_symmetry_space_group_name_H-M 'P 4/m m m'
_symmetry_Int_Tables_number 123
_symmetry_space_group_name_Hall '-P 4 2'
loop_
_atom_site_label
_atom_site_fract_x
_atom_site_fract_y
_atom_site_fract_z
Tl1 0.0000 0.0000 0.0000
As1 0.5000 0.5000 0.0000
Pd1 0.5000 0.5000 0.5000
Se1 0.0000 0.5000 0.5000
```

(6)
# As2PdWSe

An optimized crystal structure of As2PdWSe (PBE, the Alexandria database).

Cell and atoms, written as CIF:
```
data_As2PdWSe
_cell_length_a 4.9039
_cell_length_b 4.9039
_cell_length_c 4.8320
_cell_angle_alpha 90.00
_cell_angle_beta 90.00
_cell_angle_gamma 90.00
_symmetry_space_group_name_H-M 'P 4/m m m'
_symmetry_Int_Tables_number 123
_symmetry_space_group_name_Hall '-P 4 2'
loop_
_atom_site_label
_atom_site_fract_x
_atom_site_fract_y
_atom_site_fract_z
As1 0.0000 0.5000 0.0000
Pd1 0.0000 0.0000 0.5000
W1 0.5000 0.5000 0.0000
Se1 0.5000 0.5000 0.5000
```

(7)
# YAsPdSe2

An optimized crystal structure of YAsPdSe2 (PBE, the Alexandria database).

Cell and atoms, written as CIF:
```
data_YAsPdSe2
_cell_length_a 5.0107
_cell_length_b 5.0107
_cell_length_c 4.7615
_cell_angle_alpha 90.00
_cell_angle_beta 90.00
_cell_angle_gamma 90.00
_symmetry_space_group_name_H-M 'P 4/m m m'
_symmetry_Int_Tables_number 123
_symmetry_space_group_name_Hall '-P 4 2'
loop_
_atom_site_label
_atom_site_fract_x
_atom_site_fract_y
_atom_site_fract_z
Y1 0.0000 0.0000 0.0000
As1 0.5000 0.5000 0.0000
Pd1 0.5000 0.5000 0.5000
Se1 0.0000 0.5000 0.5000
```

(8)
# YAsPdSe2

An optimized crystal structure of YAsPdSe2 (PBE, the Alexandria database).

Cell and atoms, written as CIF:
```
data_YAsPdSe2
_cell_length_a 5.3694
_cell_length_b 5.3694
_cell_length_c 5.4918
_cell_angle_alpha 90.00
_cell_angle_beta 90.00
_cell_angle_gamma 90.00
_symmetry_space_group_name_H-M 'P 4/m m m'
_symmetry_Int_Tables_number 123
_symmetry_space_group_name_Hall '-P 4 2'
loop_
_atom_site_label
_atom_site_fract_x
_atom_site_fract_y
_atom_site_fract_z
Y1 0.0000 0.0000 0.0000
As1 0.0000 0.0000 0.5000
Pd1 0.5000 0.5000 0.5000
Se1 0.0000 0.5000 0.0000
```

(9)
# ZnAs2PdSe

An optimized crystal structure of ZnAs2PdSe (PBE, the Alexandria database).

Cell and atoms, written as CIF:
```
data_ZnAs2PdSe
_cell_length_a 4.8231
_cell_length_b 4.8231
_cell_length_c 5.1818
_cell_angle_alpha 90.00
_cell_angle_beta 90.00
_cell_angle_gamma 90.00
_symmetry_space_group_name_H-M 'P 4/m m m'
_symmetry_Int_Tables_number 123
_symmetry_space_group_name_Hall '-P 4 2'
loop_
_atom_site_label
_atom_site_fract_x
_atom_site_fract_y
_atom_site_fract_z
Zn1 0.0000 0.0000 0.0000
As1 0.0000 0.5000 0.5000
Pd1 0.5000 0.5000 0.5000
Se1 0.5000 0.5000 0.0000
```

(10)
# ZnAsPdSe2

An optimized crystal structure of ZnAsPdSe2 (PBE, the Alexandria database).

Cell and atoms, written as CIF:
```
data_ZnAsPdSe2
_cell_length_a 4.8996
_cell_length_b 4.8996
_cell_length_c 4.7327
_cell_angle_alpha 90.00
_cell_angle_beta 90.00
_cell_angle_gamma 90.00
_symmetry_space_group_name_H-M 'P 4/m m m'
_symmetry_Int_Tables_number 123
_symmetry_space_group_name_Hall '-P 4 2'
loop_
_atom_site_label
_atom_site_fract_x
_atom_site_fract_y
_atom_site_fract_z
Zn1 0.0000 0.0000 0.0000
As1 0.0000 0.0000 0.5000
Pd1 0.5000 0.5000 0.5000
Se1 0.0000 0.5000 0.0000
```

(11)
# ZnAs2PdSe

An optimized crystal structure of ZnAs2PdSe (PBE, the Alexandria database).

Cell and atoms, written as CIF:
```
data_ZnAs2PdSe
_cell_length_a 4.7545
_cell_length_b 4.7545
_cell_length_c 4.9071
_cell_angle_alpha 90.00
_cell_angle_beta 90.00
_cell_angle_gamma 90.00
_symmetry_space_group_name_H-M 'P 4/m m m'
_symmetry_Int_Tables_number 123
_symmetry_space_group_name_Hall '-P 4 2'
loop_
_atom_site_label
_atom_site_fract_x
_atom_site_fract_y
_atom_site_fract_z
Zn1 0.0000 0.0000 0.0000
As1 0.0000 0.5000 0.0000
Pd1 0.5000 0.5000 0.5000
Se1 0.0000 0.0000 0.5000
```

(12)
# ZnAsPdSe2

An optimized crystal structure of ZnAsPdSe2 (PBE, the Alexandria database).

Cell and atoms, written as CIF:
```
data_ZnAsPdSe2
_cell_length_a 5.1310
_cell_length_b 5.1310
_cell_length_c 4.6556
_cell_angle_alpha 90.00
_cell_angle_beta 90.00
_cell_angle_gamma 90.00
_symmetry_space_group_name_H-M 'P 4/m m m'
_symmetry_Int_Tables_number 123
_symmetry_space_group_name_Hall '-P 4 2'
loop_
_atom_site_label
_atom_site_fract_x
_atom_site_fract_y
_atom_site_fract_z
Zn1 0.0000 0.0000 0.0000
As1 0.5000 0.5000 0.0000
Pd1 0.5000 0.5000 0.5000
Se1 0.0000 0.5000 0.5000
```

Values for DOS(E_F), states/eV per atom, ordered as above
1.23, 1.74, 0.49, 1.19, 1.14, 0.68, 0.64, 1.27, 0.91, 1.09, 0.79, 0.90
Values for total DFT energy (no corrections), eV/cell, ordered as above
-22.529, -13.523, -235.196, -18.750, -18.198, -27.714, -25.095, -21.938, -16.454, -14.575, -15.476, -15.662
Values for M_tot, μB/atom, ordered as above
0.02, 0.22, 0.00, 0.15, 0.00, 0.00, 0.00, 0.00, 0.16, 0.00, 0.00, 0.00